First-principles (GGA+U) data for a relaxed CsMnP2O8 crystal, as listed in the Alexandria database.

Lattice parameters (Å, degrees): 4.907 4.907 9.064 90.00 90.00 120.00
Element x y z (fractional)
1 Cs 0.000 0.000 0.000
2 Mn 0.000 0.000 0.500
3 P 0.333 0.667 0.679
4 P 0.667 0.333 0.321
5 O 0.060 0.344 0.625
6 O 0.284 0.940 0.625
7 O 0.333 0.667 0.847
8 O 0.344 0.284 0.375
9 O 0.656 0.716 0.625
10 O 0.667 0.333 0.153
11 O 0.716 0.060 0.375
12 O 0.940 0.656 0.375

Output
Total magnetic moment (μB/cell): 2.0
Energy (eV/atom): -6.747